Entry from the Open Quantum Materials Database: a geometry-optimized Y4NiPbC2 structure (PBE).

Properties
For the total energy, the calculation gives -7.040 eV per atom. The volume comes out at 169.16 Å³/cell. The value obtained for the total moment is 0.09 μB per formula unit.

a = 3.6429 Å, b = 3.6429 Å, c = 14.7186 Å
α = 90.00°, β = 90.00°, γ = 120.00°
Space group P-6m2 (No. 187)
Unique sites:
Y 0.0000 0.0000 0.1332 x2
Y 0.6667 0.3333 0.3164 x2
Ni 0.6667 0.3333 0.0000 x1
Pb 0.0000 0.0000 0.5000 x1
C 0.3333 0.6667 0.2283 x2